{
  "formula": "HoRePb2O6",
  "functional": "PBE",
  "state": "optimized geometry",
  "spacegroup": "No. 59",
  "total_energy_ev_per_atom": -7.243,
  "magnetic_moment_mub_per_fu": 1.97,
  "lattice_angstrom": [[-2.832, -2.374, -4.537], [-2.565, -4.077, 3.734], [-6.416, 5.209, 1.280]],
  "species": ["Ho", "Ho", "Re", "Re", "Pb", "Pb", "Pb", "Pb", "O", "O", "O", "O", "O", "O", "O", "O", "O", "O", "O", "O"],
  "frac_coords": [[0.000, 0.718, 0.500], [0.500, 0.282, 0.000], [0.500, 0.243, 0.500], [0.000, 0.757, 0.000], [0.500, 0.806, 0.218], [0.000, 0.194, 0.718], [0.500, 0.806, 0.782], [0.000, 0.194, 0.282], [0.500, 0.217, 0.264], [0.500, 0.217, 0.736], [0.000, 0.783, 0.236], [0.000, 0.783, 0.764], [0.248, 0.015, 0.500], [0.752, 0.015, 0.500], [0.258, 0.458, 0.500], [0.742, 0.458, 0.500], [0.758, 0.542, 0.000], [0.242, 0.542, 0.000], [0.252, 0.985, 0.000], [0.748, 0.985, 0.000]]
}